Entry 1:
A geometry-optimized MgTaMo2 structure, computed with GGA-PBEsol.

Computed properties:
M_tot = 0.0000 μB per atom

abc: 3.924 3.924 4.241
angles: 90.00 90.00 90.00
Space group P4/mmm (No. 123)
Unique sites:
Mg  0.000  0.000  0.000 (multiplicity 1)
Ta  0.500  0.500  0.000 (multiplicity 1)
Mo  0.000  0.500  0.500 (multiplicity 2)

Entry 2:
A geometry-optimized MgTa2Mo structure, computed with GGA-PBEsol.

Computed properties:
M_tot = 0.0000 μB per atom

abc: 3.320 4.547 9.169
angles: 90.00 90.00 90.00
Space group Imm2 (No. 44)
Unique sites:
Mg  0.000  0.000  0.000 (multiplicity 2)
Ta  0.000  0.000  0.472 (multiplicity 2)
Ta  0.000  0.500  0.233 (multiplicity 2)
Mo  0.000  0.500  0.751 (multiplicity 2)

Entry 3:
A geometry-optimized MgTaMo2 structure, computed with GGA-PBEsol.

Computed properties:
M_tot = 0.0000 μB per atom

abc: 3.174 3.174 6.720
angles: 90.00 90.00 90.00
Space group P4mm (No. 99)
Unique sites:
Mg  0.000  0.000  0.000 (multiplicity 1)
Ta  0.500  0.500  0.708 (multiplicity 1)
Mo  0.000  0.000  0.475 (multiplicity 1)
Mo  0.500  0.500  0.266 (multiplicity 1)

Entry 4:
A geometry-optimized MgTaMo2 structure, computed with GGA-PBEsol.

Computed properties:
M_tot = 0.0000 μB per atom

abc: 2.705 4.559 5.414
angles: 90.00 99.85 90.00
Space group Pm (No. 6)
Unique sites:
Mg  0.000  0.000  0.000 (multiplicity 1)
Ta  0.276  0.500  0.735 (multiplicity 1)
Mo  0.549  0.000  0.488 (multiplicity 1)
Mo  0.761  0.500  0.259 (multiplicity 1)

Entry 5:
A geometry-optimized MgTaMo2 structure, computed with GGA-PBEsol.

Computed properties:
M_tot = 0.0000 μB per atom

abc: 3.241 4.541 9.023
angles: 90.00 90.00 90.00
Space group Imm2 (No. 44)
Unique sites:
Mg  0.000  0.000  0.000 (multiplicity 2)
Ta  0.000  0.500  0.773 (multiplicity 2)
Mo  0.000  0.000  0.519 (multiplicity 2)
Mo  0.000  0.500  0.238 (multiplicity 2)

Entry 6:
A geometry-optimized MgTaMo2 structure, computed with GGA-PBEsol.

Computed properties:
M_tot = 0.0000 μB per atom

abc: 5.612 9.110 2.683
angles: 90.00 107.65 90.00
Space group C2/m (No. 12)
Unique sites:
Mg  0.000  0.000  0.000 (multiplicity 2)
Ta  0.000  0.500  0.000 (multiplicity 2)
Mo  0.250  0.250  0.500 (multiplicity 4)

Entry 7:
A geometry-optimized MgTaMo structure, computed with GGA-PBEsol.

Computed properties:
M_tot = 0.0000 μB per atom

abc: 6.230 6.230 6.230
angles: 90.00 90.00 90.00
Space group F-43m (No. 216)
Unique sites:
Mg  0.000  0.000  0.000 (multiplicity 4)
Ta  0.000  0.000  0.500 (multiplicity 4)
Mo  0.250  0.250  0.750 (multiplicity 4)

Entry 8:
A geometry-optimized MgTaMo2 structure, computed with GGA-PBEsol.

Computed properties:
M_tot = 0.0001 μB per atom

abc: 2.7994 2.7994 29.7626
angles: 90.00 90.00 120.00
Space group R-3m (No. 166, hexagonal axes)
Unique sites:
Mg  0.0000  0.0000  0.0000 (multiplicity 3)
Ta  0.0000  0.0000  0.5000 (multiplicity 3)
Mo  0.0000  0.0000  0.2498 (multiplicity 6)

Entry 9:
A geometry-optimized MgTa2Mo structure, computed with GGA-PBEsol.

Computed properties:
M_tot = 0.0001 μB per atom

abc: 4.392 4.392 7.093
angles: 90.00 90.00 90.00
Space group I-4m2 (No. 119)
Unique sites:
Mg  0.000  0.000  0.000 (multiplicity 2)
Ta  0.000  0.000  0.500 (multiplicity 2)
Ta  0.000  0.500  0.750 (multiplicity 2)
Mo  0.000  0.500  0.250 (multiplicity 2)

Entry 10:
A geometry-optimized MgTaMo2 structure, computed with GGA-PBEsol.

Computed properties:
M_tot = 0.0001 μB per atom

abc: 6.393 6.393 6.393
angles: 90.00 90.00 90.00
Space group F-43m (No. 216)
Unique sites:
Mg  0.000  0.000  0.000 (multiplicity 4)
Ta  0.250  0.250  0.750 (multiplicity 4)
Mo  0.000  0.000  0.500 (multiplicity 4)
Mo  0.250  0.250  0.250 (multiplicity 4)

Entry 11:
A geometry-optimized MgTcMo2 structure, computed with GGA-PBEsol.

Computed properties:
M_tot = 0.0000 μB per atom

abc: 2.7987 2.7987 27.8652
angles: 90.00 90.00 120.00
Space group R-3m (No. 166, hexagonal axes)
Unique sites:
Mg  0.0000  0.0000  0.0000 (multiplicity 3)
Tc  0.0000  0.0000  0.5000 (multiplicity 3)
Mo  0.0000  0.0000  0.2439 (multiplicity 6)

Entry 12:
A geometry-optimized Mg2TcMo structure, computed with GGA-PBEsol.

Computed properties:
M_tot = 0.0000 μB per atom

abc: 2.668 4.610 5.320
angles: 90.00 102.79 90.00
Space group P2/m (No. 10)
Unique sites:
Mg  0.032  0.000  0.254 (multiplicity 2)
Tc  0.500  0.500  0.500 (multiplicity 1)
Mo  0.500  0.500  0.000 (multiplicity 1)

Entry 13:
A geometry-optimized Mg2TcMo structure, computed with GGA-PBEsol.

Computed properties:
M_tot = 0.0001 μB per atom

abc: 3.135 3.135 7.031
angles: 90.00 90.00 90.00
Space group P4mm (No. 99)
Unique sites:
Mg  0.000  0.000  0.000 (multiplicity 1)
Mg  0.500  0.500  0.303 (multiplicity 1)
Tc  0.500  0.500  0.746 (multiplicity 1)
Mo  0.000  0.000  0.569 (multiplicity 1)

Entry 14:
A geometry-optimized Mg2TcMo structure, computed with GGA-PBEsol.

Computed properties:
M_tot = 0.0000 μB per atom

abc: 6.308 6.308 6.308
angles: 90.00 90.00 90.00
Space group F-43m (No. 216)
Unique sites:
Mg  0.000  0.000  0.000 (multiplicity 4)
Mg  0.250  0.250  0.250 (multiplicity 4)
Tc  0.000  0.000  0.500 (multiplicity 4)
Mo  0.250  0.250  0.750 (multiplicity 4)

Entry 15:
A geometry-optimized MgTcMo2 structure, computed with GGA-PBEsol.

Computed properties:
M_tot = 0.0001 μB per atom

abc: 5.363 9.001 2.656
angles: 90.00 108.21 90.00
Space group C2/m (No. 12)
Unique sites:
Mg  0.000  0.000  0.000 (multiplicity 2)
Tc  0.000  0.500  0.000 (multiplicity 2)
Mo  0.250  0.250  0.500 (multiplicity 4)

Entry 16:
A geometry-optimized Mg4TcMo structure, computed with GGA-PBEsol.

Computed properties:
M_tot = 0.0005 μB per atom

abc: 7.405 7.405 7.405
angles: 90.00 90.00 90.00
Space group F-43m (No. 216)
Unique sites:
Mg  0.125  0.125  0.125 (multiplicity 16)
Tc  0.250  0.250  0.750 (multiplicity 4)
Mo  0.000  0.000  0.500 (multiplicity 4)

no.,energy of formation (eV/atom)
1,0.376
2,0.284
3,0.268
4,0.221
5,0.252
6,0.253
7,1.093
8,0.431
9,0.372
10,0.377
11,0.321
12,0.336
13,0.100
14,0.241
15,0.284
16,0.741